Material: CoCuI2O
Method: DFT, PBE with a Hubbard U
State: optimized geometry

a = 5.533 Å, b = 5.533 Å, c = 3.649 Å
α = 90.00°, β = 90.00°, γ = 90.00°
Space group P4/mmm (No. 123)
Unique sites:
Co: 0.000 0.000 0.000
Cu: 0.500 0.500 0.500
I: 0.000 0.500 0.500
O: 0.500 0.500 0.000

- raw total energy (eV per cell) = -15.38
- mass density (Mg/m³) = 5.83
- magnetization (μB/f.u.) = 1.98
- D(E_F) (states/eV/cell) = 6.6